Entry 1:
Computed, not measured: KOsF5 after structural relaxation at the GGA-PBE level of DFT.

Results
As for the calculated total energy: -5.119 eV/atom. The uncorrected formation energy comes out at -2.02 eV per atom. Its density of states at the Fermi level is 2.7 states/eV/f.u.

a b c (Å): 6.121 6.121 7.852
angles (deg): 106.86 106.86 74.70
Positions (direct):
K (0.030, 0.970, 0.750)
K (0.970, 0.030, 0.250)
Os (0.500, 0.500, 0.000)
Os (0.500, 0.500, 0.500)
F (0.208, 0.728, 0.022)
F (0.246, 0.335, 0.394)
F (0.272, 0.792, 0.478)
F (0.335, 0.246, 0.894)
F (0.432, 0.568, 0.750)
F (0.568, 0.432, 0.250)
F (0.665, 0.754, 0.106)
F (0.728, 0.208, 0.522)
F (0.754, 0.665, 0.606)
F (0.792, 0.272, 0.978)



Entry 2:
Computed, not measured: FeCuSb2 after structural relaxation at the GGA-PBE level of DFT.

Results
As for the calculated total energy: -4.784 eV/atom. The uncorrected formation energy comes out at 0.42 eV per atom. Its density of states at the Fermi level is 4.3 states/eV/f.u.

a b c (Å): 3.910 3.910 9.967
angles (deg): 90.00 90.00 90.00
Positions (direct):
Fe (0.000, 0.000, 0.000)
Fe (0.500, 0.500, 0.500)
Cu (0.000, 0.500, 0.250)
Cu (0.500, 0.000, 0.750)
Sb (0.000, 0.000, 0.500)
Sb (0.000, 0.500, 0.750)
Sb (0.500, 0.000, 0.250)
Sb (0.500, 0.500, 0.000)



Entry 3:
Computed, not measured: NbCr2Tc2 after structural relaxation at the GGA-PBE level of DFT.

Results
As for the calculated total energy: -9.859 eV/atom. Its density of states at the Fermi level is 4.3 states/eV/f.u. As for the formation energy: 0.151 eV/atom.

a b c (Å): 7.149 7.149 2.824
angles (deg): 90.00 90.00 90.00
Positions (direct):
Nb (0.000, 0.000, 0.000)
Nb (0.500, 0.500, 0.000)
Cr (0.144, 0.356, 0.000)
Cr (0.356, 0.856, 0.000)
Cr (0.644, 0.144, 0.000)
Cr (0.856, 0.644, 0.000)
Tc (0.155, 0.655, 0.500)
Tc (0.345, 0.155, 0.500)
Tc (0.655, 0.845, 0.500)
Tc (0.845, 0.345, 0.500)



Entry 4:
Computed, not measured: CrHg2Ru after structural relaxation at the GGA-PBE level of DFT.

Results
As for the calculated total energy: -4.236 eV/atom. Its density of states at the Fermi level is 3.5 states/eV/f.u. As for the formation energy: 0.639 eV/atom.

a b c (Å): 2.948 4.733 5.270
angles (deg): 90.00 96.39 90.00
Positions (direct):
Cr (0.000, 0.000, 0.000)
Hg (0.262, 0.500, 0.747)
Hg (0.738, 0.500, 0.253)
Ru (0.500, 0.000, 0.500)



Entry 5:
Computed, not measured: MoOs after structural relaxation at the GGA-PBE level of DFT.

Results
As for the calculated total energy: -10.321 eV/atom. Its density of states at the Fermi level is 2.5 states/eV/f.u. As for the formation energy: 0.709 eV/atom.

a b c (Å): 9.696 9.696 2.779
angles (deg): 90.00 90.00 90.00
Positions (direct):
Mo (0.115, 0.640, 0.000)
Mo (0.140, 0.385, 0.500)
Mo (0.360, 0.115, 0.000)
Mo (0.385, 0.860, 0.500)
Mo (0.615, 0.140, 0.500)
Mo (0.640, 0.885, 0.000)
Mo (0.860, 0.615, 0.500)
Mo (0.885, 0.360, 0.000)
Os (0.096, 0.160, 0.000)
Os (0.160, 0.904, 0.000)
Os (0.340, 0.596, 0.500)
Os (0.404, 0.340, 0.500)
Os (0.596, 0.660, 0.500)
Os (0.660, 0.404, 0.500)
Os (0.840, 0.096, 0.000)
Os (0.904, 0.840, 0.000)



Entry 6:
Computed, not measured: Ag8PbAu2 after structural relaxation at the GGA-PBE level of DFT.

Results
As for the calculated total energy: -2.830 eV/atom. Its density of states at the Fermi level is 1.9 states/eV/f.u. As for the formation energy: 0.177 eV/atom.

a b c (Å): 7.519 7.519 4.895
angles (deg): 100.72 100.72 61.48
Positions (direct):
Ag (0.114, 0.752, 0.722)
Ag (0.139, 0.139, 0.823)
Ag (0.248, 0.886, 0.278)
Ag (0.262, 0.262, 0.390)
Ag (0.738, 0.738, 0.610)
Ag (0.752, 0.114, 0.722)
Ag (0.861, 0.861, 0.177)
Ag (0.886, 0.248, 0.278)
Pb (0.500, 0.500, 0.500)
Au (0.365, 0.365, 0.947)
Au (0.635, 0.635, 0.053)



Entry 7:
Computed, not measured: TiCu2Pd2 after structural relaxation at the GGA-PBE level of DFT.

Results
As for the calculated total energy: -5.454 eV/atom. Its density of states at the Fermi level is 4.6 states/eV/f.u. As for the formation energy: -0.159 eV/atom.

a b c (Å): 7.073 7.073 2.912
angles (deg): 90.00 90.00 90.00
Positions (direct):
Ti (0.000, 0.000, 0.000)
Ti (0.500, 0.500, 0.000)
Cu (0.123, 0.377, 0.000)
Cu (0.377, 0.877, 0.000)
Cu (0.623, 0.123, 0.000)
Cu (0.877, 0.623, 0.000)
Pd (0.174, 0.674, 0.500)
Pd (0.326, 0.174, 0.500)
Pd (0.674, 0.826, 0.500)
Pd (0.826, 0.326, 0.500)



Entry 8:
Computed, not measured: Tb3Ge5Pt6 after structural relaxation at the GGA-PBE level of DFT.

Results
As for the calculated total energy: -6.140 eV/atom. Its density of states at the Fermi level is 6.7 states/eV/f.u. As for the formation energy: -0.910 eV/atom.

a b c (Å): 4.170 12.963 9.615
angles (deg): 90.00 90.00 90.00
Positions (direct):
Tb (0.250, 0.080, 0.244)
Tb (0.250, 0.420, 0.244)
Tb (0.250, 0.750, 0.256)
Tb (0.750, 0.250, 0.744)
Tb (0.750, 0.580, 0.756)
Tb (0.750, 0.920, 0.756)
Ge (0.250, 0.083, 0.850)
Ge (0.250, 0.417, 0.850)
Ge (0.250, 0.635, 0.541)
Ge (0.250, 0.750, 0.833)
Ge (0.250, 0.865, 0.541)
Ge (0.750, 0.135, 0.459)
Ge (0.750, 0.250, 0.167)
Ge (0.750, 0.365, 0.459)
Ge (0.750, 0.583, 0.150)
Ge (0.750, 0.917, 0.150)
Pt (0.250, 0.054, 0.596)
Pt (0.250, 0.250, 0.002)
Pt (0.250, 0.250, 0.487)
Pt (0.250, 0.446, 0.596)
Pt (0.250, 0.584, 0.007)
Pt (0.250, 0.916, 0.007)
Pt (0.750, 0.084, 0.993)
Pt (0.750, 0.416, 0.993)
Pt (0.750, 0.554, 0.404)
Pt (0.750, 0.750, 0.513)
Pt (0.750, 0.750, 0.998)
Pt (0.750, 0.946, 0.404)



Entry 9:
Computed, not measured: Ba3C5 after structural relaxation at the GGA-PBE level of DFT.

Results
As for the calculated total energy: -6.277 eV/atom. Its density of states at the Fermi level is 3.4 states/eV/f.u. As for the formation energy: 0.209 eV/atom.

a b c (Å): 4.169 4.169 10.619
angles (deg): 90.00 90.00 90.00
Positions (direct):
Ba (0.000, 0.000, 0.000)
Ba (0.500, 0.500, 0.326)
Ba (0.500, 0.500, 0.674)
C (0.000, 0.000, 0.373)
C (0.000, 0.000, 0.500)
C (0.000, 0.000, 0.627)
C (0.500, 0.500, 0.060)
C (0.500, 0.500, 0.940)



Entry 10:
Computed, not measured: In2NiAu after structural relaxation at the GGA-PBE level of DFT.

Results
As for the calculated total energy: -3.606 eV/atom. Its density of states at the Fermi level is 2.2 states/eV/f.u. As for the formation energy: 0.028 eV/atom.

a b c (Å): 3.432 3.432 23.367
angles (deg): 90.00 90.00 120.00
Positions (direct):
In (0.000, 0.000, 0.242)
In (0.000, 0.000, 0.758)
In (0.333, 0.667, 0.424)
In (0.333, 0.667, 0.909)
In (0.667, 0.333, 0.091)
In (0.667, 0.333, 0.576)
Ni (0.000, 0.000, 0.500)
Ni (0.333, 0.667, 0.167)
Ni (0.667, 0.333, 0.833)
Au (0.000, 0.000, 0.000)
Au (0.333, 0.667, 0.667)
Au (0.667, 0.333, 0.333)



Entry 11:
Computed, not measured: Ce2CoGe3 after structural relaxation at the GGA-PBE level of DFT.

Results
As for the calculated total energy: -6.127 eV/atom. Its density of states at the Fermi level is 9.3 states/eV/f.u. As for the formation energy: -0.656 eV/atom.

a b c (Å): 8.314 8.274 5.861
angles (deg): 69.67 68.95 41.38
Positions (direct):
Ce (0.247, 0.753, 0.753)
Ce (0.250, 0.250, 0.250)
Ce (0.750, 0.750, 0.750)
Ce (0.753, 0.247, 0.247)
Co (0.165, 0.165, 0.835)
Co (0.835, 0.835, 0.165)
Ge (0.155, 0.671, 0.329)
Ge (0.326, 0.326, 0.674)
Ge (0.329, 0.845, 0.155)
Ge (0.671, 0.155, 0.845)
Ge (0.674, 0.674, 0.326)
Ge (0.845, 0.329, 0.671)



Entry 12:
Computed, not measured: GdDyErMg after structural relaxation at the GGA-PBE level of DFT.

Results
As for the calculated total energy: -6.177 eV/atom. Its density of states at the Fermi level is 4.7 states/eV/f.u. As for the formation energy: 0.034 eV/atom.

a b c (Å): 7.765 7.765 7.765
angles (deg): 90.00 90.00 90.00
Positions (direct):
Gd (0.000, 0.000, 0.000)
Gd (0.000, 0.500, 0.500)
Gd (0.500, 0.000, 0.500)
Gd (0.500, 0.500, 0.000)
Dy (0.000, 0.000, 0.500)
Dy (0.000, 0.500, 0.000)
Dy (0.500, 0.000, 0.000)
Dy (0.500, 0.500, 0.500)
Er (0.250, 0.250, 0.250)
Er (0.250, 0.750, 0.750)
Er (0.750, 0.250, 0.750)
Er (0.750, 0.750, 0.250)
Mg (0.250, 0.250, 0.750)
Mg (0.250, 0.750, 0.250)
Mg (0.750, 0.250, 0.250)
Mg (0.750, 0.750, 0.750)



The highest calculated total energy belongs to which entry?
Ag8PbAu2